A relaxed Ti6PbN crystal, computed with PBE.

Calculated values
Symmetry   R-3m, No. 166
Magnetic moment   0.00 μB per cell
Uncorrected formation energy   -471 meV per atom

The structure in POSCAR format:
```
Ti6PbN
1.0
5.209 0.454 -0.147
-1.516 5.004 -0.147
-0.828 -1.223 5.019
Ti Pb N
6 1 1
direct
0.225 0.225 0.608
0.608 0.225 0.225
0.775 0.775 0.392
0.775 0.392 0.775
0.392 0.775 0.775
0.225 0.608 0.225
0.000 0.000 0.000
0.500 0.500 0.500
```

A relaxed Ti5PbN crystal, computed with PBE.

Calculated values
Symmetry   P4/mmm, No. 123
Magnetic moment   0.00 μB per cell
Energy relative to the lowest polymorph listed for this composition   2.018 eV/f.u.
Uncorrected formation energy   -217 meV per atom

The structure in POSCAR format:
```
Ti5PbN
1.0
-2.109 -1.875 2.716
3.288 -1.469 1.540
0.511 5.651 4.300
Ti Pb N
5 1 1
direct
0.500 0.000 0.681
0.000 0.500 0.681
0.500 0.500 0.000
0.000 0.500 0.319
0.500 0.000 0.319
0.000 0.000 0.000
0.000 0.000 0.500
```

A relaxed Ti8Pb2N crystal, computed with PBE.

Calculated values
Symmetry   P4/mmm, No. 123
Magnetic moment   0.01 μB per cell
Energy relative to the lowest polymorph listed for this composition   0.581 eV/f.u.
Uncorrected formation energy   -137 meV per atom

The structure in POSCAR format:
```
Ti8Pb2N
1.0
3.973 0.000 0.000
0.000 3.973 0.000
0.000 0.000 11.657
Ti Pb N
8 2 1
direct
0.000 0.500 0.500
0.500 0.000 0.500
0.500 0.500 0.294
0.500 0.500 0.706
0.000 0.500 0.110
0.500 0.000 0.110
0.000 0.500 0.890
0.500 0.000 0.890
0.000 0.000 0.306
0.000 0.000 0.694
0.000 0.000 0.000
```

A relaxed TiPb3N3 crystal, computed with PBE.

Calculated values
Symmetry   P6_3/m, No. 176
Magnetic moment   0.00 μB per cell
Uncorrected formation energy   14 meV per atom

The structure in POSCAR format:
```
TiPb3N3
1.0
5.300 -9.180 0.000
5.300 9.180 0.000
0.000 0.000 3.736
Ti Pb N
2 6 6
direct
0.667 0.333 0.750
0.333 0.667 0.250
0.957 0.619 0.250
0.662 0.043 0.250
0.381 0.338 0.250
0.043 0.381 0.750
0.338 0.957 0.750
0.619 0.662 0.750
0.871 0.459 0.750
0.588 0.129 0.750
0.541 0.412 0.750
0.129 0.541 0.250
0.412 0.871 0.250
0.459 0.588 0.250
```

A relaxed YTi2PbN crystal, computed with PBE.

Calculated values
Symmetry   P4/mmm, No. 123
Magnetic moment   0.00 μB per cell
Uncorrected formation energy   -723 meV per atom

The structure in POSCAR format:
```
YTi2PbN
1.0
-1.089 -3.837 1.520
1.760 0.990 3.761
-4.265 1.813 1.519
Pb Y N Ti
1 1 1 2
direct
0.500 0.500 0.500
0.000 0.000 0.500
0.000 0.000 0.000
0.000 0.500 0.000
0.500 0.000 0.000
```

A relaxed TiZnPb2N crystal, computed with PBE.

Calculated values
Symmetry   P4/mmm, No. 123
Magnetic moment   0.00 μB per cell
Uncorrected formation energy   490 meV per atom

The structure in POSCAR format:
```
TiZnPb2N
1.0
5.424 0.000 0.000
0.000 3.560 0.000
0.000 0.000 5.424
Pb Zn N Ti
2 1 1 1
direct
0.000 0.000 0.500
0.500 0.000 0.000
0.000 0.500 0.000
0.000 0.000 0.000
0.500 0.500 0.500
```

A relaxed TlPbN2 crystal, computed with PBE.

Calculated values
Symmetry   Fm-3m, No. 225
Magnetic moment   1.23 μB per cell
Energy relative to the lowest polymorph listed for this composition   2.854 eV/f.u.
Uncorrected formation energy   1567 meV per atom

The structure in POSCAR format:
```
TlPbN2
1.0
-1.194 -4.360 -0.196
1.584 -2.920 3.073
-2.781 -1.727 3.124
Pb Tl N
1 1 2
direct
0.500 0.500 0.500
0.000 0.000 0.000
0.250 0.250 0.250
0.750 0.750 0.750
```

A relaxed TlPbN crystal, computed with PBE.

Calculated values
Symmetry   Cm, No. 8
Magnetic moment   0.00 μB per cell
Uncorrected formation energy   584 meV per atom

The structure in POSCAR format:
```
TlPbN
1.0
-2.336 -2.194 -1.695
0.598 -3.575 -0.072
-8.407 -1.599 9.699
Tl Pb N
2 2 2
direct
0.435 0.500 0.975
0.272 0.082 0.728
0.745 0.346 0.491
0.926 0.255 0.234
0.144 0.146 0.912
0.313 0.562 0.155
```

A relaxed TlPbN2 crystal, computed with PBE.

Calculated values
Symmetry   I-42d, No. 122
Magnetic moment   0.00 μB per cell
Energy relative to the lowest polymorph listed for this composition   0.000 eV/f.u.
Uncorrected formation energy   853 meV per atom

The structure in POSCAR format:
```
TlPbN2
1.0
5.354 0.000 0.000
0.000 5.354 0.000
2.677 2.677 5.376
Pb Tl N
2 2 4
direct
0.000 0.000 0.000
0.750 0.250 0.500
0.500 0.500 0.000
0.250 0.750 0.500
0.627 0.125 0.250
0.123 0.625 0.250
0.375 0.373 0.750
0.875 0.877 0.750
```

A relaxed TlPbN2 crystal, computed with PBE.

Calculated values
Symmetry   R-3m, No. 166
Magnetic moment   0.00 μB per cell
Energy relative to the lowest polymorph listed for this composition   0.786 eV/f.u.
Uncorrected formation energy   1050 meV per atom

The structure in POSCAR format:
```
TlPbN2
1.0
-4.547 3.644 3.619
-2.936 1.446 6.028
-1.295 4.522 4.993
Pb Tl N
1 1 2
direct
0.500 0.500 0.500
0.000 0.000 0.000
0.893 0.893 0.893
0.107 0.107 0.107
```